# 1
Material: PmHoAu6
Method: DFT, PBE-GGA
State: relaxed

Cell: 9.067 4.624 9.113 Å, 90.00 119.01 90.00°
Space group C2/m (No. 12)
Unique sites:
Pm: 0.000 0.000 0.000 x2
Ho: 0.000 0.500 0.500 x2
Au: 0.117 0.500 0.865 x4
Au: 0.129 0.000 0.382 x4
Au: 0.244 0.000 0.750 x4

Properties
Energy of formation = -0.6567 eV/atom
Final energy = -68.49 eV/cell

# 2
Material: PmHo2Au2
Method: DFT, PBE-GGA
State: relaxed

Cell: 5.0125 5.0125 6.3396 Å, 90.00 90.00 120.00°
Space group P-3m1 (No. 164)
Unique sites:
Pm: 0.0000 0.0000 0.0000 x1
Ho: 0.3333 0.6667 0.6666 x2
Au: 0.3333 0.6667 0.2057 x2

Properties
Polymorph energy (0 for the lowest one) = 0.440 eV per formula unit
Energy of formation = -0.6015 eV/atom
Final energy = -23.47 eV/cell

# 3
Material: Pm2HoAu3
Method: DFT, PBE-GGA
State: relaxed

Cell: 3.632 3.632 11.098 Å, 90.00 90.00 90.00°
Space group P4/mmm (No. 123)
Unique sites:
Pm: 0.000 0.000 0.170 x2
Ho: 0.000 0.000 0.500 x1
Au: 0.500 0.500 0.000 x1
Au: 0.500 0.500 0.345 x2

Properties
Polymorph energy (0 for the lowest one) = 0.000 eV per formula unit
Energy of formation = -0.8161 eV/atom
Final energy = -28.81 eV/cell

# 4
Material: PmHoAu
Method: DFT, PBE-GGA
State: relaxed

Cell: 7.082 5.059 9.172 Å, 90.00 90.00 90.00°
Space group Pnma (No. 62)
Unique sites:
Pm: 0.152 0.250 0.085 x4
Ho: 0.008 0.250 0.675 x4
Au: 0.229 0.250 0.404 x4

Properties
Polymorph energy (0 for the lowest one) = 0.000 eV per formula unit
Energy of formation = -0.5871 eV/atom
Final energy = -57.47 eV/cell

Question: What is the formula in the first record?
Answer: PmHoAu6

Question: Among the records above, which one has the highest final energy?
Answer: PmHo2Au2

Question: The highest energy of formation belongs to which entry?
Answer: PmHoAu